Tb4MgIn3 (GGA-PBE, relaxed); formation energy = -0.401 eV/atom; SG = C2/m (12); uncorrected energy = -3.942 eV/atom
1.0
-5.121 0.293 1.442
1.280 -1.690 4.888
2.949 7.864 -0.966
Mg Tb In
1 4 3
direct
0.500 0.000 0.000 Mg
0.375 0.375 0.750 Tb
0.625 0.625 0.250 Tb
0.125 0.125 0.250 Tb
0.875 0.875 0.750 Tb
0.000 0.500 0.000 In
0.747 0.247 0.494 In
0.253 0.753 0.506 In